(1)
SrPuP2O8 | GGA-PBE | relaxed

- energy relative to the elements, uncorrected (meV per atom) = -2626
- total magnetic moment (μB per formula unit) = 4.000
- volume (A^3/atom) = 13.97

Cell lengths 4.9907, 4.9907, 23.3168 Å; angles 90.00, 90.00, 120.00 degrees
Space group R32 (No. 155, hexagonal axes)
One atom of each set of equivalent atoms:
Sr1 0.0000 0.0000 0.0000
Pu1 0.0000 0.0000 0.5000
P1 0.0000 0.0000 0.2519
O1 0.0000 0.0000 0.3172
O2 0.0116 0.2986 0.2286



(2)
PuTlPO5 | GGA-PBE | relaxed

- energy relative to the elements, uncorrected (meV per atom) = -2307
- total magnetic moment (μB per formula unit) = 4.000
- volume (A^3/atom) = 16.21

Cell lengths 7.3979, 9.8297, 7.9411 Å; angles 90.00, 116.08, 90.00 degrees
Space group C2/c (No. 15)
One atom of each set of equivalent atoms:
Pu1 0.0000 0.0000 0.0000
Tl1 0.0000 0.3356 0.2500
P1 0.0000 0.3113 0.7500
O1 0.0000 0.0629 0.2500
O2 0.0722 0.2187 0.6304
O3 0.1762 0.4045 0.8804



(3)
PuTl3P2O8 | GGA-PBE | relaxed

- energy relative to the elements, uncorrected (meV per atom) = -1997
- total magnetic moment (μB per formula unit) = 5.000
- volume (A^3/atom) = 17.37

Cell lengths 5.8506, 5.8506, 8.2022 Å; angles 90.00, 90.00, 120.00 degrees
Space group P-3m1 (No. 164)
One atom of each set of equivalent atoms:
Pu1 0.0000 0.0000 0.0000
Tl1 0.0000 0.0000 0.5000
Tl2 0.3333 0.6667 0.2638
P1 0.3333 0.6667 0.7670
O1 0.1880 0.3759 0.8325
O2 0.3333 0.6667 0.5801



(4)
PuTl2PO6 | GGA-PBE | relaxed

- energy relative to the elements, uncorrected (meV per atom) = -1689
- total magnetic moment (μB per formula unit) = 3.000
- volume (A^3/atom) = 16.01

Cell lengths 5.6023, 5.6023, 10.1994 Å; angles 90.00, 90.00, 90.00 degrees
Space group I4/mmm (No. 139)
One atom of each set of equivalent atoms:
Pu1 0.0000 0.0000 0.0000
Tl1 0.0000 0.5000 0.2500
P1 0.0000 0.0000 0.5000
O1 0.0000 0.0000 0.1863
O2 0.2051 0.2051 0.5000



(5)
PuTlP2O6 | GGA-PBE | relaxed

- energy relative to the elements, uncorrected (meV per atom) = -2082
- total magnetic moment (μB per formula unit) = 5.000
- volume (A^3/atom) = 15.36

Cell lengths 11.0905, 9.3674, 6.5509 Å; angles 90.00, 115.47, 90.00 degrees
Space group C2/c (No. 15)
One atom of each set of equivalent atoms:
Pu1 0.0000 0.1539 0.2500
Tl1 0.0000 0.4573 0.7500
P1 0.2244 0.1774 0.8449
O1 0.1095 0.2383 0.6292
O2 0.1435 0.3156 0.1824
O3 0.1825 0.0299 0.8976



(6)
YPuP2O8 | GGA-PBE | relaxed

- energy relative to the elements, uncorrected (meV per atom) = -2761
- total magnetic moment (μB per formula unit) = 5.000
- volume (A^3/atom) = 14.34

Cell lengths 5.2819, 5.2819, 7.1228 Å; angles 90.00, 90.00, 120.00 degrees
Space group P-3m1 (No. 164)
One atom of each set of equivalent atoms:
Y1 0.0000 0.0000 0.0000
Pu1 0.0000 0.0000 0.5000
P1 0.3333 0.6667 0.2984
O1 0.1737 0.3473 0.2231
O2 0.3333 0.6667 0.5127



(7)
RbPO2 | GGA-PBE | relaxed

- energy relative to the elements, uncorrected (meV per atom) = -1263
- total magnetic moment (μB per formula unit) = 0.000
- volume (A^3/atom) = 21.42

Cell lengths 3.8950, 3.8950, 19.5626 Å; angles 90.00, 90.00, 120.00 degrees
Space group R-3m (No. 166, hexagonal axes)
One atom of each set of equivalent atoms:
Rb1 0.0000 0.0000 0.0000
P1 0.0000 0.0000 0.5000
O1 0.0000 0.0000 0.4214



(8)
Rb3PO4 | GGA-PBE | relaxed

- energy relative to the elements, uncorrected (meV per atom) = -2110
- total magnetic moment (μB per formula unit) = 0.044
- polymorph energy (0 for the lowest one) (meV/atom) = 40
- volume (A^3/atom) = 20.40

Cell lengths 6.1113, 8.4018, 6.3569 Å; angles 90.00, 90.00, 90.00 degrees
Space group Imm2 (No. 44)
One atom of each set of equivalent atoms:
Rb1 0.0000 0.0000 0.0000
Rb2 0.0000 0.2400 0.4991
P1 0.0000 0.5000 0.9492
O1 0.0000 0.3464 0.0888
O2 0.2083 0.5000 0.8057



(9)
RbPO2 | GGA-PBE | relaxed

- energy relative to the elements, uncorrected (meV per atom) = -466
- total magnetic moment (μB per formula unit) = 0.000
- volume (A^3/atom) = 16.35

Cell lengths 3.2516, 3.2516, 21.4288 Å; angles 90.00, 90.00, 120.00 degrees
Space group R-3m (No. 166, hexagonal axes)
One atom of each set of equivalent atoms:
Rb1 0.0000 0.0000 0.0000
P1 0.0000 0.0000 0.5000
O1 0.0000 0.0000 0.1188



(10)
Rb3PO | GGA-PBE | relaxed

- energy relative to the elements, uncorrected (meV per atom) = -353
- total magnetic moment (μB per formula unit) = 2.000
- polymorph energy (0 for the lowest one) (meV/atom) = 0
- volume (A^3/atom) = 34.17

Cell lengths 5.5489, 5.5489, 5.5489 Å; angles 90.00, 90.00, 90.00 degrees
Space group Pm-3m (No. 221)
One atom of each set of equivalent atoms:
Rb1 0.0000 0.0000 0.5000
P1 0.5000 0.5000 0.5000
O1 0.0000 0.0000 0.0000



(11)
RbPO2 | GGA-PBE | relaxed

- energy relative to the elements, uncorrected (meV per atom) = -1579
- total magnetic moment (μB per formula unit) = 0.000
- volume (A^3/atom) = 17.92

Cell lengths 6.7468, 2.9842, 14.2444 Å; angles 90.00, 90.00, 90.00 degrees
Space group Pnma (No. 62)
One atom of each set of equivalent atoms:
Rb1 0.1999 0.2500 0.1457
P1 0.1939 0.7500 0.3910
O1 0.1561 0.2500 0.8101
O2 0.2312 0.7500 0.9556



(12)
Rb2PO4 | GGA-PBE | relaxed

- energy relative to the elements, uncorrected (meV per atom) = -1902
- total magnetic moment (μB per formula unit) = 1.010
- polymorph energy (0 for the lowest one) (meV/atom) = 75
- volume (A^3/atom) = 27.08

Cell lengths 10.0487, 12.2505, 12.3206 Å; angles 90.00, 90.00, 90.00 degrees
Space group Fmmm (No. 69)
One atom of each set of equivalent atoms:
Rb1 0.0000 0.0000 0.2418
Rb2 0.0000 0.2372 0.0000
P1 0.2500 0.2500 0.2500
O1 0.1616 0.1765 0.1769



| no. | N(E_F) (states/eV per atom) |
| --- | --- |
| 1 | 0.744 |
| 2 | 0.593 |
| 3 | 0.503 |
| 4 | 0.417 |
| 5 | 1.116 |
| 6 | 0.541 |
| 7 | 0.000 |
| 8 | 0.000 |
| 9 | 0.126 |
| 10 | 1.763 |
| 11 | 0.000 |
| 12 | 0.971 |